# 1
Entry from Alexandria: Cr2ReBr after structural relaxation (PBE).

Unit cell a=4.5629 b=4.5629 c=2.9457 alpha=90.00 beta=90.00 gamma=103.62
Last column: nearest neighbours and their distance in Å.
Fractional positions:
Cr 0.5000 0.5000 0.0000  4 Re 2.72, 4 Br 2.72, 4 Cr 2.82-2.95
Cr 0.0000 0.0000 0.0000  4 Br 2.72, 4 Re 2.72, 4 Cr 2.82-2.95
Re 0.5000 0.0000 0.5000  8 Cr 2.72, 2 Br 2.82, 2 Re 2.95
Br 0.0000 0.5000 0.5000  8 Cr 2.72, 2 Re 2.82, 2 Br 2.95

Output
E_tot = -29.82 eV for the cell shown
Calculated volume = 59.60 Å³ per cell
E above lowest polymorph = 513.9 meV per atom
Raw formation energy = 887 meV per atom

---

# 2
Entry from Alexandria: Sm2Dy5ErTm after structural relaxation (PBE).

Unit cell a=8.5246 b=8.5246 c=9.9494 alpha=115.37 beta=115.37 gamma=90.00
Last column: nearest neighbours and their distance in Å.
Fractional positions:
Sm 0.3815 0.8815 0.0000  1 Sm 2.86, 2 Dy 3.02
Sm 0.8815 0.6185 0.0000  1 Sm 2.86, 2 Dy 3.02
Sm 0.1185 0.3815 0.0000  1 Sm 2.86, 2 Dy 3.02
Sm 0.6185 0.1185 0.0000  1 Sm 2.86, 2 Dy 3.02
Dy 0.1460 0.0721 0.7181  1 Sm 3.02, 1 Er 3.09
Dy 0.9279 0.4279 0.2819  1 Sm 3.02, 1 Er 3.09
Dy 0.6460 0.1460 0.7181  1 Sm 3.02, 1 Er 3.09
Dy 0.4279 0.3540 0.2819  1 Sm 3.02, 1 Er 3.09
Dy 0.0000 0.0000 0.0000  4 Sm 3.41, 8 Dy 3.78
Dy 0.0721 0.5721 0.7181  1 Sm 3.02, 1 Er 3.09
Dy 0.8540 0.9279 0.2819  1 Sm 3.02, 1 Er 3.09
Dy 0.5721 0.6460 0.7181  1 Sm 3.02, 1 Er 3.09
Dy 0.5000 0.5000 0.0000  4 Sm 3.41, 8 Dy 3.78
Dy 0.3540 0.8540 0.2819  1 Sm 3.02, 1 Er 3.09
Tm 0.2500 0.2500 0.5000  8 Dy 3.50
Tm 0.7500 0.7500 0.5000  8 Dy 3.50
Er 0.7500 0.2500 0.5000  4 Dy 3.09
Er 0.2500 0.7500 0.5000  4 Dy 3.09

Output
E_tot = -77.79 eV for the cell shown
Calculated volume = 575.22 Å³ per cell
Energy of formation = 0.2873 eV per atom

---

# 3
Entry from Alexandria: TcTe2PN after structural relaxation (PBE).

Unit cell a=5.2206 b=4.4553 c=5.2206 alpha=90.00 beta=90.00 gamma=90.00
Last column: nearest neighbours and their distance in Å.
Fractional positions:
N 0.5000 0.5000 0.5000  8 Te 3.43, 4 Tc 3.69
P 0.0000 0.0000 0.0000  2 Tc 2.23
Te 0.5000 0.0000 0.0000  2 P 2.61
Te 0.0000 0.0000 0.5000  2 P 2.61
Tc 0.0000 0.5000 0.0000  2 P 2.23

Output
E_tot = -20.94 eV for the cell shown
Calculated volume = 121.43 Å³ per cell
E above lowest polymorph = 1339.2 meV per atom
Raw formation energy = 1890 meV per atom

---

# 4
Entry from Alexandria: NpTcAgO6 after structural relaxation (PBE).

Unit cell a=5.4406 b=5.4406 c=9.8400 alpha=90.00 beta=90.00 gamma=120.00
Last column: nearest neighbours and their distance in Å.
Fractional positions:
Tc 0.6667 0.3333 0.7500  6 O 1.98
Tc 0.3333 0.6667 0.2500  6 O 1.98
Ag 0.0000 0.0000 0.0000  6 O 2.43
Ag 0.0000 0.0000 0.5000  6 O 2.43
O 0.3569 0.3725 0.3582  1 Tc 1.98, 1 Np 2.09
O 0.6431 0.0156 0.8582  1 Tc 1.98, 1 Np 2.09
O 0.3725 0.3569 0.8582  1 Tc 1.98, 1 Np 2.09
O 0.3569 0.9844 0.1418  1 Tc 1.98, 1 Np 2.09
O 0.0156 0.6431 0.3582  1 Tc 1.98, 1 Np 2.09
O 0.9844 0.3569 0.6418  1 Tc 1.98, 1 Np 2.09
O 0.6431 0.6275 0.6418  1 Tc 1.98, 1 Np 2.09
O 0.9844 0.6275 0.8582  1 Tc 1.98, 1 Np 2.09
O 0.6275 0.9844 0.3582  1 Tc 1.98, 1 Np 2.09
O 0.6275 0.6431 0.1418  1 Tc 1.98, 1 Np 2.09
O 0.3725 0.0156 0.6418  1 Tc 1.98, 1 Np 2.09
O 0.0156 0.3725 0.1418  1 Tc 1.98, 1 Np 2.09
Np 0.3333 0.6667 0.7500  6 O 2.09
Np 0.6667 0.3333 0.2500  6 O 2.09

Output
E_tot = -142.72 eV for the cell shown
Calculated volume = 252.25 Å³ per cell
Raw formation energy = -1717 meV per atom

---

# 5
Entry from Alexandria: SrMn2Ag after structural relaxation (PBE).

Unit cell a=4.4140 b=4.4140 c=6.2016 alpha=69.20 beta=69.20 gamma=59.97
Last column: nearest neighbours and their distance in Å.
Fractional positions:
Ag 0.7037 0.7037 0.8884  6 Mn 2.70-2.75
Sr 0.5034 0.5034 0.4907  7 Mn 3.29-3.57, 4 Ag 3.40-3.41
Mn 0.3093 0.3093 0.0721  3 Mn 2.55, 3 Ag 2.75
Mn 0.9836 0.9836 0.0489  3 Mn 2.55, 3 Ag 2.70

Output
E_tot = -21.86 eV for the cell shown
Calculated volume = 95.41 Å³ per cell
Energy of formation = 0.2524 eV per atom

---

# 6
Entry from Alexandria: PmTlInPb after structural relaxation (PBE).

Unit cell a=4.6602 b=4.9669 c=4.8070 alpha=90.00 beta=90.00 gamma=90.00
Last column: nearest neighbours and their distance in Å.
Fractional positions:
In 0.5000 0.0000 0.5000  4 Tl 3.35, 4 Pb 3.41, 4 Pm 3.46
Pb 0.0000 0.5000 0.5000  4 Pm 3.35, 4 In 3.41, 4 Tl 3.46
Tl 0.0000 0.0000 0.0000  4 In 3.35, 4 Pm 3.41, 4 Pb 3.46
Pm 0.5000 0.5000 0.0000  4 Pb 3.35, 4 Tl 3.41, 4 In 3.46

Output
E_tot = -15.04 eV for the cell shown
Calculated volume = 111.27 Å³ per cell
E above lowest polymorph = 0.0 meV per atom
Energy of formation = -0.3685 eV per atom